[1]
{
  "formula": "K3Na8Cd",
  "functional": "PBE-GGA",
  "state": "optimized geometry",
  "cell": [[3.562, 2.056, 11.677], [-3.562, 2.056, 11.677], [0.000, -4.113, 11.677]],
  "species": ["K", "K", "K", "Na", "Na", "Na", "Na", "Na", "Na", "Na", "Na", "Cd"],
  "frac_coords": [[0.000, 0.000, 0.000], [0.129, 0.129, 0.129], [0.512, 0.512, 0.512], [0.056, 0.565, 0.565], [0.069, 0.069, 0.571], [0.069, 0.571, 0.069], [0.315, 0.315, 0.315], [0.565, 0.056, 0.565], [0.565, 0.565, 0.056], [0.571, 0.069, 0.069], [0.816, 0.816, 0.816], [0.630, 0.630, 0.630]],
  "total_magnetization_mub_per_fu": 0.00,
  "space_group": "R3m",
  "formation_enthalpy_0k_mev_per_atom": 33,
  "dos_at_fermi_per_ev_atom": 0.68
}

=====

[2]
{
  "formula": "DyTmPd",
  "functional": "PBE-GGA",
  "state": "optimized geometry",
  "cell": [[3.522, 0.000, 0.000], [0.000, 3.522, 0.000], [0.000, 0.000, 12.105]],
  "species": ["Dy", "Dy", "Tm", "Tm", "Pd", "Pd"],
  "frac_coords": [[0.000, 0.000, 0.000], [0.500, 0.500, 0.500], [0.000, 0.000, 0.277], [0.500, 0.500, 0.777], [0.000, 0.000, 0.644], [0.500, 0.500, 0.144]],
  "total_magnetization_mub_per_fu": 0.00,
  "space_group": "I4mm",
  "formation_enthalpy_0k_mev_per_atom": -572,
  "dos_at_fermi_per_ev_atom": 0.73,
  "relative_energy_mev_per_atom": 65
}